Arrangement one

Material: Nb2GeSb2
Method: DFT, PBE-GGA
State: relaxed

Values from the calculation:
Magnetic moment: 0.00 μB/cell

The structure in CIF format:
```
data_Nb2GeSb2
_chemical_formula_sum 'Nb4 Ge2 Sb4'
_cell_length_a 7.3374
_cell_length_b 7.3374
_cell_length_c 3.8539
_cell_angle_alpha 90.00
_cell_angle_beta 90.00
_cell_angle_gamma 90.00
_symmetry_space_group_name_H-M 'P 4/m b m'
_symmetry_Int_Tables_number 127
_symmetry_space_group_name_Hall '-P 4 2ab'
loop_
_atom_site_label
_atom_site_type_symbol
_atom_site_fract_x
_atom_site_fract_y
_atom_site_fract_z
Nb1 Nb 0.1485 0.3515 0.0000
Ge1 Ge 0.0000 0.0000 0.0000
Sb1 Sb 0.1507 0.6507 0.5000
```

=====

Arrangement two

Material: Nb2GeSb2
Method: DFT, PBE-GGA
State: relaxed

Values from the calculation:
Magnetic moment: 0.00 μB/cell

The structure in CIF format:
```
data_Nb2GeSb2
_chemical_formula_sum 'Nb4 Ge2 Sb4'
_cell_length_a 4.0504
_cell_length_b 4.0504
_cell_length_c 14.4990
_cell_angle_alpha 90.00
_cell_angle_beta 90.00
_cell_angle_gamma 90.00
_symmetry_space_group_name_H-M 'I 4/m m m'
_symmetry_Int_Tables_number 139
_symmetry_space_group_name_Hall '-I 4 2'
loop_
_atom_site_label
_atom_site_type_symbol
_atom_site_fract_x
_atom_site_fract_y
_atom_site_fract_z
Nb1 Nb 0.0000 0.5000 0.2500
Ge1 Ge 0.0000 0.0000 0.0000
Sb1 Sb 0.0000 0.0000 0.3903
```

=====

Arrangement three

Material: Nb2GeSb2
Method: DFT, PBE-GGA
State: relaxed

Values from the calculation:
Magnetic moment: 0.00 μB/cell

The structure in CIF format:
```
data_Nb2GeSb2
_chemical_formula_sum 'Nb2 Ge1 Sb2'
_cell_length_a 2.8980
_cell_length_b 2.8980
_cell_length_c 14.3735
_cell_angle_alpha 90.00
_cell_angle_beta 90.00
_cell_angle_gamma 90.00
_symmetry_space_group_name_H-M 'P 4/m m m'
_symmetry_Int_Tables_number 123
_symmetry_space_group_name_Hall '-P 4 2'
loop_
_atom_site_label
_atom_site_type_symbol
_atom_site_fract_x
_atom_site_fract_y
_atom_site_fract_z
Nb1 Nb 0.0000 0.0000 0.1797
Ge1 Ge 0.0000 0.0000 0.0000
Sb1 Sb 0.0000 0.0000 0.3798
```

=====

Short version: arrangement three is the least stable of them.